No. 1
Here is a relaxed structure of Tb4CoGe3 from Alexandria via LeMat-Bulk. Energies are from PBE.

POSCAR file:
```
Tb4CoGe3
1.0
-3.438 -0.051 -2.428
-1.660 -2.710 2.408
-4.277 7.851 5.890
Ge Tb Co
3 4 1
direct
0.500 0.000 0.928 Ge
0.000 0.000 0.421 Ge
0.000 0.500 0.584 Ge
0.500 0.000 0.642 Tb
0.000 0.500 0.868 Tb
0.000 0.000 0.135 Tb
0.500 0.500 0.350 Tb
0.500 0.500 0.072 Co
```

* SG: Pmm2, No. 25

No. 2
Here is a relaxed structure of TbCo2Ge2 from Alexandria via LeMat-Bulk. Energies are from PBE.

POSCAR file:
```
TbCo2Ge2
1.0
5.803 0.009 0.000
3.094 4.909 0.000
-4.448 -2.459 2.800
Co Ge Tb
2 2 1
direct
0.750 0.250 0.500 Co
0.250 0.750 0.500 Co
0.372 0.372 0.000 Ge
0.628 0.628 0.000 Ge
0.000 0.000 0.000 Tb
```

* SG: I4/mmm, No. 139

No. 3
Here is a relaxed structure of Tb2Co2Ge3 from Alexandria via LeMat-Bulk. Energies are from PBE.

POSCAR file:
```
Tb2Co2Ge3
1.0
0.392 -3.812 -1.483
1.366 -2.295 6.263
-8.814 0.490 2.102
Tb Ge Co
4 6 4
direct
0.161 0.250 0.322 Tb
0.054 0.750 0.107 Tb
0.946 0.250 0.893 Tb
0.839 0.750 0.678 Tb
0.433 0.939 0.865 Ge
0.433 0.561 0.865 Ge
0.567 0.061 0.135 Ge
0.222 0.750 0.444 Ge
0.567 0.439 0.135 Ge
0.778 0.250 0.556 Ge
0.696 0.942 0.393 Co
0.696 0.558 0.393 Co
0.304 0.058 0.607 Co
0.304 0.442 0.607 Co
```

* SG: Cmcm, No. 63

No. 4
Here is a relaxed structure of TbCo6Ge12 from Alexandria via LeMat-Bulk. Energies are from PBE.

POSCAR file:
```
TbCo6Ge12
1.0
-0.292 0.232 -7.408
4.356 -5.615 2.128
-6.830 -1.003 2.714
Ge Co Tb
12 6 1
direct
0.698 0.861 0.163 Ge
0.139 0.837 0.302 Ge
0.861 0.163 0.698 Ge
0.163 0.698 0.861 Ge
0.837 0.302 0.139 Ge
0.837 0.698 0.535 Ge
0.163 0.302 0.465 Ge
0.465 0.163 0.302 Ge
0.698 0.535 0.837 Ge
0.302 0.139 0.837 Ge
0.535 0.837 0.698 Ge
0.302 0.465 0.163 Ge
0.654 0.500 0.154 Co
0.154 0.654 0.500 Co
0.346 0.500 0.846 Co
0.500 0.846 0.346 Co
0.500 0.154 0.654 Co
0.846 0.346 0.500 Co
0.000 0.000 0.000 Tb
```

* SG: Im-3, No. 204

No. 5
Here is a relaxed structure of TbCo4Ge4 from Alexandria via LeMat-Bulk. Energies are from PBE.

POSCAR file:
```
TbCo4Ge4
1.0
-0.482 1.151 -5.646
5.162 -2.431 -0.936
-3.523 -7.044 -1.135
Ge Co Tb
8 8 2
direct
0.000 0.716 0.682 Ge
0.284 0.000 0.318 Ge
0.716 0.000 0.318 Ge
0.216 0.500 0.182 Ge
0.500 0.784 0.818 Ge
0.784 0.500 0.182 Ge
0.000 0.284 0.682 Ge
0.500 0.216 0.818 Ge
0.275 0.000 0.612 Co
0.000 0.725 0.388 Co
0.000 0.275 0.388 Co
0.775 0.500 0.888 Co
0.500 0.775 0.112 Co
0.500 0.225 0.112 Co
0.725 0.000 0.612 Co
0.225 0.500 0.888 Co
0.500 0.500 0.500 Tb
0.000 0.000 0.000 Tb
```

* SG: P4_2/nmc, No. 137

No. 6
Here is a relaxed structure of Tb2CoGe3 from Alexandria via LeMat-Bulk. Energies are from PBE.

POSCAR file:
```
Tb2CoGe3
1.0
-1.099 -2.507 3.191
4.344 -0.975 3.499
-1.234 3.016 4.714
Ge Tb Co
3 2 1
direct
0.793 0.267 0.147 Ge
0.885 0.587 0.643 Ge
0.176 0.739 0.909 Ge
0.547 0.184 0.721 Tb
0.432 0.824 0.312 Tb
0.167 0.399 0.267 Co
```

* SG: Cm, No. 8

Formation energy, record by record: -66.0 -59.5 -59.2 7.4 -30.5 -61.6 kJ per mole of atoms
Total magnetic moment, record by record: 0.01 0.00 0.70 0.00 0.00 0.00 μB/f.u.